Entry 1:
Material: Ba5GeBi2Br
Method: DFT, GGA-PBE
State: relaxed

a b c (Å): 5.7896 8.7179 18.0866
angles (deg): 90.00 90.00 90.00
Space group Immm (No. 71)
Inequivalent atoms, fractional coordinates:
Ba  0.0000  0.0000  0.0000 (multiplicity 2)
Ba  0.0000  0.2626  0.3527 (multiplicity 8)
Ge  0.0000  0.5000  0.5000 (multiplicity 2)
Bi  0.0000  0.0000  0.2006 (multiplicity 4)
Br  0.0000  0.5000  0.0000 (multiplicity 2)

Values from the calculation:
ΔE_f (raw) (meV/atom): -832
ρ (g/cm3): 4.57
Total DFT energy (no corrections) (eV per atom): -3.46

***

Entry 2:
Material: LiZr2Al
Method: DFT, GGA-PBE
State: relaxed

a b c (Å): 7.6444 7.6444 5.4261
angles (deg): 90.00 90.00 90.00
Space group I-42d (No. 122)
Inequivalent atoms, fractional coordinates:
Li  0.0000  0.0000  0.0000 (multiplicity 4)
Zr  0.2411  0.2500  0.1250 (multiplicity 8)
Al  0.0000  0.0000  0.5000 (multiplicity 4)

Values from the calculation:
Energy relative to the elements (eV/atom): 0.203
ρ (g/cm3): 4.53
Total DFT energy (no corrections) (eV per atom): -5.49